[1]
# PBE-GGA MgAlIn2, optimized geometry
# M_tot: 0.0 μB/f.u.
# ΔH_f (0 K): 0.42 eV per formula unit
# Crystal system: trigonal
data_MgAlIn2
_chemical_formula_sum 'Mg1 Al1 In2'
_cell_length_a 4.742
_cell_length_b 4.742
_cell_length_c 5.837
_cell_angle_alpha 66.03
_cell_angle_beta 66.03
_cell_angle_gamma 60.00
_symmetry_space_group_name_H-M 'P 1'
_symmetry_Int_Tables_number 1
loop_
_symmetry_equiv_pos_as_xyz
'x,y,z'
loop_
_atom_site_label
_atom_site_fract_x
_atom_site_fract_y
_atom_site_fract_z
In1 0.066 0.066 0.803
In2 0.265 0.265 0.205
Al1 0.681 0.681 0.956
Mg1 0.488 0.488 0.536

[2]
# PBE-GGA CsCdBi3, optimized geometry
# M_tot: 0.0 μB/f.u.
# ΔH_f (0 K): -0.69 eV per formula unit
# Relative energy among the computed polymorphs: 0.12 eV/f.u.
# Crystal system: monoclinic
data_CsCdBi3
_chemical_formula_sum 'Cs4 Cd4 Bi12'
_cell_length_a 8.610
_cell_length_b 9.855
_cell_length_c 9.855
_cell_angle_alpha 81.41
_cell_angle_beta 77.64
_cell_angle_gamma 77.64
_symmetry_space_group_name_H-M 'P 1'
_symmetry_Int_Tables_number 1
loop_
_symmetry_equiv_pos_as_xyz
'x,y,z'
loop_
_atom_site_label
_atom_site_fract_x
_atom_site_fract_y
_atom_site_fract_z
Bi1 0.892 0.718 0.712
Cs1 0.250 0.351 0.649
Bi2 0.097 0.625 0.960
Bi3 0.903 0.375 0.040
Bi4 0.392 0.712 0.718
Cd1 0.275 0.557 0.253
Bi5 0.108 0.282 0.288
Bi6 0.608 0.288 0.282
Cd2 0.775 0.253 0.557
Bi7 0.392 0.373 0.027
Cd3 0.225 0.747 0.443
Bi8 0.597 0.960 0.625
Bi9 0.108 0.973 0.627
Bi10 0.892 0.027 0.373
Cs2 0.250 0.971 0.029
Bi11 0.403 0.040 0.375
Cd4 0.725 0.443 0.747
Cs3 0.750 0.029 0.971
Cs4 0.750 0.649 0.351
Bi12 0.608 0.627 0.973

[3]
# PBE-GGA PmH6Rh2, optimized geometry
# M_tot: 0.5 μB/f.u.
# Relative energy among the computed polymorphs: 0.03 eV/f.u.
# Crystal system: hexagonal
data_PmH6Rh2
_chemical_formula_sum 'Pm1 H6 Rh2'
_cell_length_a 4.765
_cell_length_b 4.765
_cell_length_c 4.159
_cell_angle_alpha 90.00
_cell_angle_beta 90.00
_cell_angle_gamma 120.00
_symmetry_space_group_name_H-M 'P 1'
_symmetry_Int_Tables_number 1
loop_
_symmetry_equiv_pos_as_xyz
'x,y,z'
loop_
_atom_site_label
_atom_site_fract_x
_atom_site_fract_y
_atom_site_fract_z
H1 0.501 0.000 0.232
H2 0.501 0.501 0.768
H3 0.499 0.499 0.232
H4 0.499 0.000 0.768
H5 0.000 0.501 0.232
Pm1 0.000 0.000 0.000
Rh1 0.333 0.667 0.500
Rh2 0.667 0.333 0.500
H6 0.000 0.499 0.768

[4]
# PBE-GGA TlGe4Te5, optimized geometry
# M_tot: 0.0 μB/f.u.
# Energy relative to the elements, uncorrected: -91.4 meV per atom
# Crystal system: monoclinic
data_TlGe4Te5
_chemical_formula_sum 'Tl1 Ge4 Te5'
_cell_length_a 4.256
_cell_length_b 7.536
_cell_length_c 9.660
_cell_angle_alpha 75.39
_cell_angle_beta 77.27
_cell_angle_gamma 73.60
_symmetry_space_group_name_H-M 'P 1'
_symmetry_Int_Tables_number 1
loop_
_symmetry_equiv_pos_as_xyz
'x,y,z'
loop_
_atom_site_label
_atom_site_fract_x
_atom_site_fract_y
_atom_site_fract_z
Ge1 0.399 0.799 0.403
Ge2 0.601 0.201 0.597
Te1 0.613 0.666 0.109
Te2 0.205 0.909 0.682
Ge3 0.800 0.602 0.797
Te3 0.000 0.500 0.500
Te4 0.387 0.334 0.891
Te5 0.795 0.091 0.318
Ge4 0.200 0.398 0.203
Tl1 0.000 0.000 0.000

[5]
# PBE-GGA Nd6SnRu2, optimized geometry
# M_tot: 0.0 μB/f.u.
# ΔH_f (0 K): -2.45 eV per formula unit
# Relative energy among the computed polymorphs: 0.62 eV/f.u.
# Crystal system: monoclinic
data_Nd6SnRu2
_chemical_formula_sum 'Nd6 Sn1 Ru2'
_cell_length_a 5.139
_cell_length_b 5.879
_cell_length_c 9.452
_cell_angle_alpha 78.74
_cell_angle_beta 90.00
_cell_angle_gamma 115.92
_symmetry_space_group_name_H-M 'P 1'
_symmetry_Int_Tables_number 1
loop_
_symmetry_equiv_pos_as_xyz
'x,y,z'
loop_
_atom_site_label
_atom_site_fract_x
_atom_site_fract_y
_atom_site_fract_z
Nd1 0.336 0.672 0.384
Nd2 0.664 0.328 0.616
Nd3 0.969 0.938 0.846
Nd4 0.705 0.409 0.161
Ru1 0.617 0.235 0.903
Nd5 0.295 0.591 0.839
Sn1 0.000 0.000 0.500
Nd6 0.031 0.062 0.154
Ru2 0.383 0.765 0.097

[6]
# PBE-GGA AcLaCe2Sb4, optimized geometry
# M_tot: 1.6 μB/f.u.
# Energy relative to the elements, uncorrected: -1135.8 meV per atom
# Crystal system: monoclinic
data_AcLaCe2Sb4
_chemical_formula_sum 'Ac1 La1 Ce2 Sb4'
_cell_length_a 4.608
_cell_length_b 7.993
_cell_length_c 7.984
_cell_angle_alpha 70.57
_cell_angle_beta 90.00
_cell_angle_gamma 90.00
_symmetry_space_group_name_H-M 'P 1'
_symmetry_Int_Tables_number 1
loop_
_symmetry_equiv_pos_as_xyz
'x,y,z'
loop_
_atom_site_label
_atom_site_fract_x
_atom_site_fract_y
_atom_site_fract_z
La1 0.000 0.500 0.500
Sb1 0.500 0.761 0.251
Sb2 0.000 0.235 0.260
Sb3 0.500 0.239 0.749
Ac1 0.500 0.500 0.000
Ce1 0.500 0.000 0.500
Sb4 0.000 0.765 0.740
Ce2 0.000 0.000 0.000

[7]
# PBE-GGA La6Tb2CeNd, optimized geometry
# M_tot: 1.1 μB/f.u.
# ΔH_f (0 K): 2.19 eV per formula unit
# Crystal system: monoclinic
data_La6Tb2CeNd
_chemical_formula_sum 'La6 Tb2 Ce1 Nd1'
_cell_length_a 9.024
_cell_length_b 6.851
_cell_length_c 7.049
_cell_angle_alpha 119.08
_cell_angle_beta 107.31
_cell_angle_gamma 90.00
_symmetry_space_group_name_H-M 'P 1'
_symmetry_Int_Tables_number 1
loop_
_symmetry_equiv_pos_as_xyz
'x,y,z'
loop_
_atom_site_label
_atom_site_fract_x
_atom_site_fract_y
_atom_site_fract_z
La1 0.189 0.112 0.703
Ce1 0.000 0.500 0.000
La2 0.189 0.591 0.703
La3 0.811 0.409 0.297
Tb1 0.178 0.102 0.204
Tb2 0.822 0.898 0.796
Nd1 0.500 0.000 0.000
La4 0.586 0.338 0.676
La5 0.414 0.662 0.324
La6 0.811 0.888 0.297

[8]
# PBE-GGA AcScSn2, optimized geometry
# M_tot: 0.0 μB/f.u.
# ΔH_f (0 K): -1.57 eV per formula unit
# Crystal system: trigonal
data_AcScSn2
_chemical_formula_sum 'Ac1 Sc1 Sn2'
_cell_length_a 3.723
_cell_length_b 3.723
_cell_length_c 10.085
_cell_angle_alpha 79.36
_cell_angle_beta 79.36
_cell_angle_gamma 60.00
_symmetry_space_group_name_H-M 'P 1'
_symmetry_Int_Tables_number 1
loop_
_symmetry_equiv_pos_as_xyz
'x,y,z'
loop_
_atom_site_label
_atom_site_fract_x
_atom_site_fract_y
_atom_site_fract_z
Sc1 0.000 0.000 0.000
Ac1 0.500 0.500 0.500
Sn1 0.260 0.260 0.220
Sn2 0.740 0.740 0.780

[9]
# PBE-GGA PuNpB4, optimized geometry
# M_tot: 2.4 μB/f.u.
# ΔH_f (0 K): 0.93 eV per formula unit
# Relative energy among the computed polymorphs: 2.31 eV/f.u.
# Crystal system: cubic
data_PuNpB4
_chemical_formula_sum 'Pu1 Np1 B4'
_cell_length_a 4.533
_cell_length_b 4.533
_cell_length_c 4.533
_cell_angle_alpha 60.00
_cell_angle_beta 60.00
_cell_angle_gamma 60.00
_symmetry_space_group_name_H-M 'P 1'
_symmetry_Int_Tables_number 1
loop_
_symmetry_equiv_pos_as_xyz
'x,y,z'
loop_
_atom_site_label
_atom_site_fract_x
_atom_site_fract_y
_atom_site_fract_z
B1 0.652 0.652 0.652
B2 0.652 0.652 0.043
B3 0.652 0.043 0.652
Pu1 0.000 0.000 0.000
B4 0.043 0.652 0.652
Np1 0.250 0.250 0.250

[10]
# PBE-GGA Er4V, optimized geometry
# M_tot: 0.9 μB/f.u.
# ΔH_f (0 K): 2.25 eV per formula unit
# Crystal system: cubic
data_Er4V
_chemical_formula_sum 'Er4 V1'
_cell_length_a 5.300
_cell_length_b 5.300
_cell_length_c 5.300
_cell_angle_alpha 90.00
_cell_angle_beta 90.00
_cell_angle_gamma 90.00
_symmetry_space_group_name_H-M 'P 1'
_symmetry_Int_Tables_number 1
loop_
_symmetry_equiv_pos_as_xyz
'x,y,z'
loop_
_atom_site_label
_atom_site_fract_x
_atom_site_fract_y
_atom_site_fract_z
Er1 0.500 0.500 0.000
V1 0.500 0.500 0.500
Er2 0.500 0.000 0.500
Er3 0.000 0.500 0.500
Er4 0.000 0.000 0.000

[11]
# PBE-GGA Tb3Nd5Tm, optimized geometry
# M_tot: 0.0 μB/f.u.
# ΔH_f (0 K): 2.41 eV per formula unit
# Relative energy among the computed polymorphs: 0.00 eV/f.u.
# Crystal system: monoclinic
data_Tb3Nd5Tm
_chemical_formula_sum 'Tb6 Nd10 Tm2'
_cell_length_a 6.304
_cell_length_b 10.976
_cell_length_c 11.804
_cell_angle_alpha 124.84
_cell_angle_beta 90.00
_cell_angle_gamma 106.69
_symmetry_space_group_name_H-M 'P 1'
_symmetry_Int_Tables_number 1
loop_
_symmetry_equiv_pos_as_xyz
'x,y,z'
loop_
_atom_site_label
_atom_site_fract_x
_atom_site_fract_y
_atom_site_fract_z
Nd1 0.469 0.274 0.616
Nd2 0.356 0.360 0.030
Tb1 0.000 0.000 0.500
Tb2 0.397 0.352 0.326
Tb3 0.000 0.000 0.000
Tm1 0.098 0.000 0.250
Tb4 0.045 0.648 0.174
Nd3 0.410 0.000 0.750
Nd4 0.004 0.360 0.530
Tb5 0.603 0.648 0.674
Nd5 0.590 0.000 0.250
Nd6 0.644 0.640 0.970
Nd7 0.804 0.274 0.116
Nd8 0.996 0.640 0.470
Tm2 0.902 0.000 0.750
Tb6 0.955 0.352 0.826
Nd9 0.531 0.726 0.384
Nd10 0.196 0.726 0.884

[12]
# PBE-GGA SrTcPtCl2, optimized geometry
# M_tot: 1.6 μB/f.u.
# Energy relative to the elements, uncorrected: -453.0 meV per atom
# Crystal system: tetragonal
data_SrTcPtCl2
_chemical_formula_sum 'Sr1 Tc1 Pt1 Cl2'
_cell_length_a 4.850
_cell_length_b 4.850
_cell_length_c 5.022
_cell_angle_alpha 90.00
_cell_angle_beta 90.00
_cell_angle_gamma 90.00
_symmetry_space_group_name_H-M 'P 1'
_symmetry_Int_Tables_number 1
loop_
_symmetry_equiv_pos_as_xyz
'x,y,z'
loop_
_atom_site_label
_atom_site_fract_x
_atom_site_fract_y
_atom_site_fract_z
Sr1 0.500 0.500 0.500
Tc1 0.000 0.000 0.000
Pt1 0.000 0.000 0.500
Cl1 0.000 0.500 0.000
Cl2 0.500 0.000 0.000

[13]
# PBE-GGA MgAlTlCl6, optimized geometry
# M_tot: 0.0 μB/f.u.
# Energy relative to the elements, uncorrected: -1526.0 meV per atom
# Crystal system: trigonal
data_MgAlTlCl6
_chemical_formula_sum 'Mg1 Al1 Tl1 Cl6'
_cell_length_a 6.379
_cell_length_b 6.379
_cell_length_c 7.181
_cell_angle_alpha 90.00
_cell_angle_beta 90.00
_cell_angle_gamma 60.00
_symmetry_space_group_name_H-M 'P 1'
_symmetry_Int_Tables_number 1
loop_
_symmetry_equiv_pos_as_xyz
'x,y,z'
loop_
_atom_site_label
_atom_site_fract_x
_atom_site_fract_y
_atom_site_fract_z
Mg1 0.667 0.667 0.500
Cl1 0.361 0.020 0.690
Cl2 0.020 0.619 0.690
Cl3 0.619 0.361 0.690
Cl4 0.619 0.020 0.310
Tl1 0.000 0.000 0.000
Cl5 0.361 0.619 0.310
Cl6 0.020 0.361 0.310
Al1 0.333 0.333 0.500